Record 1
Density functional theory data (GGA-PBE) for crystalline TbAlCu11 at its relaxed geometry.

It has space group C2/m (No. 12), with a = 4.851 Å, b = 11.928 Å, c = 6.559 Å, α = 90.00°, β = 111.27° and γ = 90.00°. The asymmetric unit holds Tb at (0.000, 0.000, 0.000), Al at (0.000, 0.500, 0.500), Cu at (0.000, 0.000, 0.500), Cu at (0.108, 0.389, 0.221), Cu at (0.171, 0.179, 0.352) and Cu at (0.250, 0.250, 0.000).

The calculation puts the formation energy at -0.14 eV/atom. The magnetization is 0.00 μB per cell.


Record 2
Density functional theory data (GGA-PBE) for crystalline SiAu2C at its relaxed geometry.

It has space group I-42d (No. 122), with a = 4.847 Å, b = 4.847 Å, c = 12.177 Å, α = 90.00°, β = 90.00° and γ = 90.00°. The asymmetric unit holds Si at (0.000, 0.000, 0.000), Au at (0.173, 0.250, 0.625) and C at (0.000, 0.000, 0.500).

The magnetization is 0.00 μB per cell. The energy relative to the elements, uncorrected comes out at 3.9 eV/f.u.


Question: magnetization of number 1 (TbAlCu11)?
Answer: 0.00 μB per cell


Question: magnetization of number 1 (TbAlCu11)?
Answer: 0.00 μB per cell